Entry 1:
Density functional theory data (PBE-GGA) for crystalline Li2Er2HfSe6 at its relaxed geometry. Values from VASP.

Values from the calculation:
Formation energy (no corrections): -1585 meV/atom
Final energy: -61.25 eV per cell
Crystal system: monoclinic

Geometry as Quantum ESPRESSO input:
```
&SYSTEM
  ibrav = 0, nat = 11, ntyp = 4
/
ATOMIC_SPECIES
Li 6.94 Li.upf
Er 167.26 Er.upf
Hf 178.49 Hf.upf
Se 78.96 Se.upf
ATOMIC_POSITIONS crystal
Li 0.8356 0.1644 0.0000
Li 0.1644 0.8356 0.0000
Er 0.3336 0.6664 0.5000
Er 0.6664 0.3336 0.5000
Hf 0.0000 0.0000 0.5000
Se 0.7637 0.7637 0.7435
Se 0.0776 0.3979 0.7446
Se 0.2363 0.2363 0.2565
Se 0.3979 0.0776 0.7446
Se 0.9224 0.6021 0.2554
Se 0.6021 0.9224 0.2554
CELL_PARAMETERS angstrom
6.8660 0.0023 0.0976
-3.3916 5.9699 0.0976
-1.2100 -2.0799 6.4430
```

=====

Entry 2:
Density functional theory data (PBE-GGA) for crystalline DyLuCo at its relaxed geometry. Values from VASP.

Values from the calculation:
Final energy: -16.41 eV per cell
ΔE to the lowest computed polymorph: 95.1 meV/atom
Crystal system: trigonal

Geometry as Quantum ESPRESSO input:
```
&SYSTEM
  ibrav = 0, nat = 3, ntyp = 3
/
ATOMIC_SPECIES
Lu 174.97 Lu.upf
Co 58.93 Co.upf
Dy 162.50 Dy.upf
ATOMIC_POSITIONS crystal
Lu 0.1011 0.0000 0.0000
Co 0.3305 0.3333 0.6667
Dy 0.5683 0.6667 0.3333
CELL_PARAMETERS angstrom
6.0919 0.0000 0.0000
0.0000 3.8208 0.0000
0.0000 -1.9104 3.3089
```

=====

Entry 3:
Density functional theory data (PBE-GGA) for crystalline YBSCl2 at its relaxed geometry. Values from VASP.

Values from the calculation:
Formation energy (no corrections): -309 meV/atom
Final energy: -22.51 eV per cell
ΔE to the lowest computed polymorph: 48.9 meV/atom
Crystal system: tetragonal

Geometry as Quantum ESPRESSO input:
```
&SYSTEM
  ibrav = 0, nat = 5, ntyp = 4
/
ATOMIC_SPECIES
Y 88.91 Y.upf
S 32.06 S.upf
B 10.81 B.upf
Cl 35.45 Cl.upf
ATOMIC_POSITIONS crystal
Y 0.0000 0.0000 0.0000
S 0.0000 0.0000 0.5000
B 0.5000 0.5000 0.5000
Cl 0.0000 0.5000 0.0000
Cl 0.5000 0.0000 0.0000
CELL_PARAMETERS angstrom
5.2243 0.0000 0.0000
0.0000 5.2243 0.0000
0.0000 0.0000 5.3500
```

=====

Entry 4:
Density functional theory data (PBE-GGA) for crystalline KLi2Be at its relaxed geometry. Values from VASP.

Values from the calculation:
Final energy: -6.73 eV per cell
Crystal system: orthorhombic

Geometry as Quantum ESPRESSO input:
```
&SYSTEM
  ibrav = 0, nat = 4, ntyp = 3
/
ATOMIC_SPECIES
Be 9.01 Be.upf
K 39.10 K.upf
Li 6.94 Li.upf
ATOMIC_POSITIONS crystal
Be 0.5149 0.5149 0.0000
K 0.3280 0.8280 0.5000
Li 0.0157 0.0157 0.0000
Li 0.6414 0.1414 0.5000
CELL_PARAMETERS angstrom
-6.1877 -3.7725 4.4065
-1.8103 -6.4149 5.2450
4.0261 6.8641 -2.9346
```

=====

Entry 5:
Density functional theory data (PBE-GGA) for crystalline LaSbSe2O at its relaxed geometry. Values from VASP.

Values from the calculation:
Formation energy (no corrections): -1698 meV/atom
Final energy: -58.93 eV per cell
Crystal system: tetragonal

Geometry as Quantum ESPRESSO input:
```
&SYSTEM
  ibrav = 0, nat = 10, ntyp = 4
/
ATOMIC_SPECIES
La 138.91 La.upf
Sb 121.76 Sb.upf
Se 78.96 Se.upf
O 16.00 O.upf
ATOMIC_POSITIONS crystal
La 0.5000 0.0000 0.5841
La 0.0000 0.5000 0.4159
Sb 0.5000 0.0000 0.1331
Sb 0.0000 0.5000 0.8669
Se 0.0000 0.5000 0.6919
Se 0.0000 0.5000 0.1068
Se 0.5000 0.0000 0.8932
Se 0.5000 0.0000 0.3081
O 0.0000 0.0000 0.5000
O 0.5000 0.5000 0.5000
CELL_PARAMETERS angstrom
-3.1583 2.1795 1.4447
-0.5515 -2.7697 2.9727
9.1501 7.5010 8.6866
```

=====

Entry 6:
Density functional theory data (PBE-GGA) for crystalline GaBiSO2 at its relaxed geometry. Values from VASP.

Values from the calculation:
Formation energy (no corrections): -1048 meV/atom
Final energy: -52.38 eV per cell
Crystal system: orthorhombic

Geometry as Quantum ESPRESSO input:
```
&SYSTEM
  ibrav = 0, nat = 10, ntyp = 4
/
ATOMIC_SPECIES
Ga 69.72 Ga.upf
Bi 208.98 Bi.upf
S 32.06 S.upf
O 16.00 O.upf
ATOMIC_POSITIONS crystal
Ga 0.2500 0.0259 0.0517
Ga 0.7500 0.9741 0.9483
Bi 0.2500 0.6324 0.2648
Bi 0.7500 0.3676 0.7352
S 0.7500 0.7625 0.5249
S 0.2500 0.2375 0.4751
O 0.5000 0.2429 0.0000
O 0.0000 0.7571 0.0000
O 0.5000 0.7571 0.0000
O 0.0000 0.2429 0.0000
CELL_PARAMETERS angstrom
-0.9403 2.5743 -4.6934
-1.2892 -4.9121 -2.4360
-4.6809 3.1390 2.6595
```